# La4InSi PBE relaxed
# ρ   6.19 g/cm³
# E_form (uncorrected)   -429 meV/atom
# Symmetry   No. 11
data_La4InSi
_cell_length_a 5.963
_cell_length_b 7.100
_cell_length_c 9.843
_cell_angle_alpha 90.00
_cell_angle_beta 116.02
_cell_angle_gamma 90.00
_space_group_name_H-M_alt 'P 1'
_space_group_IT_number 1
loop_
_space_group_symop_operation_xyz
'x,y,z'
loop_
_atom_site_label
_atom_site_type_symbol
_atom_site_fract_x
_atom_site_fract_y
_atom_site_fract_z
La1 La 0.611 0.250 0.458
La2 La 0.389 0.750 0.542
La3 La 0.676 0.250 0.868
La4 La 0.324 0.750 0.132
La5 La 0.903 0.023 0.246
La6 La 0.097 0.523 0.754
La7 La 0.903 0.477 0.246
La8 La 0.097 0.977 0.754
In1 In 0.309 0.250 0.083
In2 In 0.691 0.750 0.917
Si1 Si 0.195 0.250 0.546
Si2 Si 0.805 0.750 0.454